(1)
Entry from Alexandria via LeMat-Bulk: a relaxed structure of La2Cu3As4Ir (PBE).

Values from the calculation:
**Uncorrected energy**: -5.608 eV per atom
**Crystal system**: tetragonal
**Spin magnetization**: 0.00 μB/atom
**Density of states at the Fermi level**: 5.10 states/eV per cell
**Formation energy from the elements**: -0.65 eV/atom

Cell and atoms, written as extended XYZ:
```
10
Lattice="4.3671 0.0000 0.0000 0.0000 4.3671 0.0000 0.0000 0.0000 9.8535" Properties=species:S:1:pos:R:3 pbc="T T T"
La 2.1835 0.0000 2.5090
La 0.0000 2.1835 7.3445
Cu 0.0000 0.0000 4.9268
Cu 2.1835 0.0000 8.6364
Cu 0.0000 2.1835 1.2171
As 2.1835 2.1835 0.0000
As 0.0000 0.0000 0.0000
As 2.1835 0.0000 6.2102
As 0.0000 2.1835 3.6433
Ir 2.1835 2.1835 4.9268
```

=====

(2)
Entry from Alexandria via LeMat-Bulk: a relaxed structure of La2CuAsIr (PBE).

Values from the calculation:
**Uncorrected energy**: -5.564 eV per atom
**Crystal system**: tetragonal
**Spin magnetization**: 0.00 μB/atom
**Density of states at the Fermi level**: 5.24 states/eV per cell
**Formation energy from the elements**: -0.07 eV/atom

Cell and atoms, written as extended XYZ:
```
5
Lattice="-0.1915 -2.8088 -4.9766 -1.5800 -3.6521 2.1221 -5.3519 1.8337 -0.8290" Properties=species:S:1:pos:R:3 pbc="T T T"
As 0.0000 0.0000 0.0000
Ir -0.7900 -1.8261 1.0611
Cu -3.5617 -2.3136 -1.8417
La -2.6759 0.9169 -0.4145
La -0.0958 -1.4044 -2.4883
```